(1)
Material: Al3RuC
Method: DFT, PBE
State: optimized geometry

Output
The value obtained for the energy above the most stable polymorph in this dataset is 0 meV per atom. As for the symmetry: Pm-3m, No. 221.

Structure (POSCAR):
```
Al3RuC
1.0
4.000 0.000 0.000
0.000 4.000 0.000
0.000 0.000 4.000
Al Ru C
3 1 1
Cartesian
0.000 0.000 2.000
0.000 2.000 0.000
2.000 0.000 0.000
2.000 2.000 2.000
0.000 0.000 0.000
```

---

(2)
Material: AlRu2C
Method: DFT, PBE
State: optimized geometry

Output
The value obtained for the energy above the most stable polymorph in this dataset is 0 meV per atom. As for the symmetry: I-42d, No. 122.

Structure (POSCAR):
```
AlRu2C
1.0
-3.327 3.327 2.330
3.327 -3.327 2.330
3.327 3.327 -2.330
Al Ru C
2 4 2
Cartesian
0.000 0.000 0.000
0.000 3.327 1.165
1.663 -0.935 1.747
2.392 1.663 0.582
1.663 4.262 -0.582
0.935 1.663 2.912
3.327 0.000 1.165
0.000 0.000 2.330
```

---

(3)
Material: Sc2AlRu5C2
Method: DFT, PBE
State: optimized geometry

Output
As for the symmetry: P4/mbm, No. 127. The calculation puts the total energy at -8.4912 eV per atom.

Structure (POSCAR):
```
Sc2AlRu5C2
1.0
9.382 0.000 0.000
0.000 9.382 0.000
0.000 0.000 2.960
Sc Al Ru C
4 2 10 4
Cartesian
1.666 3.025 0.000
3.025 7.716 0.000
6.358 1.666 0.000
7.716 6.358 0.000
0.000 0.000 0.000
4.691 4.691 0.000
0.000 4.691 1.480
0.660 7.319 1.480
2.063 0.660 1.480
2.628 5.352 1.480
4.031 2.628 1.480
4.691 0.000 1.480
5.352 6.755 1.480
6.755 4.031 1.480
7.319 8.722 1.480
8.722 2.063 1.480
1.172 5.863 0.000
3.520 1.172 0.000
5.863 8.211 0.000
8.211 3.520 0.000
```

---

(4)
Material: Sm2Al2Ru2C
Method: DFT, PBE
State: optimized geometry

Output
As for the symmetry: C2/m, No. 12. The calculation puts the total energy at -6.8847 eV per atom.

Structure (POSCAR):
```
Sm2Al2Ru2C
1.0
5.616 -2.109 0.000
5.616 2.109 0.000
-4.595 0.000 5.630
Sm Al Ru C
2 2 2 1
Cartesian
-0.859 0.000 1.843
7.497 0.000 3.786
-0.291 0.000 5.033
6.928 0.000 0.597
2.480 0.000 1.129
4.157 0.000 4.501
3.319 0.000 2.815
```

---

(5)
Material: SmAlRu2C
Method: DFT, PBE
State: optimized geometry

Output
As for the symmetry: Cmcm, No. 63. The calculation puts the total energy at -7.6555 eV per atom.

Structure (POSCAR):
```
SmAlRu2C
1.0
1.996 -5.602 0.000
1.996 5.602 0.000
0.000 0.000 7.274
Sm Al Ru C
2 2 4 2
Cartesian
1.996 5.044 5.456
1.996 -5.044 1.819
1.996 3.053 1.819
1.996 -3.053 5.456
1.996 1.829 4.053
1.996 1.829 6.858
1.996 -1.829 0.416
1.996 -1.829 3.221
1.996 0.000 0.000
1.996 0.000 3.637
```

---

(6)
Material: SrAlRu2C
Method: DFT, PBE
State: optimized geometry

Output
As for the symmetry: P4/mmm, No. 123. The calculation puts the total energy at -6.2670 eV per atom.

Structure (POSCAR):
```
SrAlRu2C
1.0
4.295 0.000 0.000
0.000 4.295 0.000
0.000 0.000 4.222
Sr Al Ru C
1 1 2 1
Cartesian
0.000 0.000 0.000
2.147 2.147 0.000
0.000 2.147 2.111
2.147 0.000 2.111
2.147 2.147 2.111
```

---

(7)
Material: TbAlRu2C
Method: DFT, PBE
State: optimized geometry

Output
As for the symmetry: Cmcm, No. 63. The calculation puts the total energy at -7.6530 eV per atom.

Structure (POSCAR):
```
TbAlRu2C
1.0
1.959 -5.605 0.000
1.959 5.605 0.000
0.000 0.000 7.258
Tb Al Ru C
2 2 4 2
Cartesian
1.959 5.066 5.443
1.959 -5.066 1.814
1.959 3.038 1.814
1.959 -3.038 5.443
1.959 1.825 4.036
1.959 1.825 6.851
1.959 -1.825 0.407
1.959 -1.825 3.222
1.959 0.000 0.000
1.959 0.000 3.629
```

---

(8)
Material: ThAlRuC
Method: DFT, PBE
State: optimized geometry

Output
As for the symmetry: P4/nmm, No. 129. The calculation puts the total energy at -7.6936 eV per atom.

Structure (POSCAR):
```
ThAlRuC
1.0
3.887 0.000 0.000
0.000 3.887 0.000
0.000 0.000 9.249
Th Al Ru C
2 2 2 2
Cartesian
0.972 0.972 1.336
2.916 2.916 7.912
0.972 0.972 6.191
2.916 2.916 3.058
0.972 2.916 4.624
2.916 0.972 4.624
0.972 0.972 8.166
2.916 2.916 1.083
```

---

(9)
Material: Ti2AlRuC
Method: DFT, PBE
State: optimized geometry

Output
As for the symmetry: P4/mmm, No. 123. The calculation puts the total energy at -8.0569 eV per atom.

Structure (POSCAR):
```
Ti2AlRuC
1.0
4.139 0.000 0.000
0.000 4.139 0.000
0.000 0.000 4.063
Ti Al Ru C
2 1 1 1
Cartesian
0.000 2.070 0.000
2.070 0.000 0.000
0.000 0.000 2.031
2.070 2.070 2.031
2.070 2.070 0.000
```

---

(10)
Material: TmAlRu2C
Method: DFT, PBE
State: optimized geometry

Output
As for the symmetry: Cmcm, No. 63. The calculation puts the total energy at -7.6086 eV per atom.

Structure (POSCAR):
```
TmAlRu2C
1.0
1.918 -5.619 0.000
1.918 5.619 0.000
0.000 0.000 7.243
Tm Al Ru C
2 2 4 2
Cartesian
1.918 5.100 5.432
1.918 -5.100 1.811
1.918 3.028 1.811
1.918 -3.028 5.432
1.918 1.821 4.017
1.918 1.821 6.848
1.918 -1.821 0.395
1.918 -1.821 3.226
1.918 0.000 0.000
1.918 0.000 3.622
```

---

(11)
Material: YAlRu2C
Method: DFT, PBE
State: optimized geometry

Output
As for the symmetry: Cmcm, No. 63. The calculation puts the total energy at -8.0210 eV per atom.

Structure (POSCAR):
```
YAlRu2C
1.0
1.955 -5.603 0.000
1.955 5.603 0.000
0.000 0.000 7.258
Y Al Ru C
2 2 4 2
Cartesian
1.955 5.068 5.444
1.955 -5.068 1.815
1.955 3.034 1.815
1.955 -3.034 5.444
1.955 1.824 4.036
1.955 1.824 6.852
1.955 -1.824 0.407
1.955 -1.824 3.223
1.955 0.000 0.000
1.955 0.000 3.629
```

---

(12)
Material: ZrAl2RuC
Method: DFT, PBE
State: optimized geometry

Output
As for the symmetry: P4/mmm, No. 123. The calculation puts the total energy at -6.8428 eV per atom.

Structure (POSCAR):
```
ZrAl2RuC
1.0
4.335 0.000 0.000
0.000 4.335 0.000
0.000 0.000 3.948
Zr Al Ru C
1 2 1 1
Cartesian
0.000 0.000 0.000
0.000 2.167 1.974
2.167 0.000 1.974
2.167 2.167 0.000
2.167 2.167 1.974
```

---

(13)
Material: Al2CS
Method: DFT, PBE
State: optimized geometry

Output
The uncorrected formation energy is -0.560 eV/atom. As for the symmetry: I-42d, No. 122.

Structure (POSCAR):
```
Al2CS
1.0
-2.521 2.521 4.871
2.521 -2.521 4.871
2.521 2.521 -4.871
Al C S
4 2 2
Cartesian
3.781 0.887 -1.218
0.887 1.260 1.218
-1.260 1.634 3.654
1.634 1.260 6.089
0.000 0.000 0.000
0.000 2.521 2.436
2.521 0.000 2.436
0.000 0.000 4.871
```

---

(14)
Material: Al2CS
Method: DFT, PBE
State: optimized geometry

Output
The uncorrected formation energy is 0.839 eV/atom. As for the symmetry: Fm-3m, No. 225.

Structure (POSCAR):
```
Al2CS
1.0
0.000 2.933 2.933
2.933 0.000 2.933
2.933 2.933 0.000
Al C S
2 1 1
Cartesian
1.467 1.467 1.467
4.400 4.400 4.400
0.000 0.000 0.000
2.933 2.933 2.933
```

---

(15)
Material: AlC3S
Method: DFT, PBE
State: optimized geometry

Output
The uncorrected formation energy is 2.329 eV/atom. The value obtained for the energy above the most stable polymorph in this dataset is 0 meV per atom. As for the symmetry: Pm-3m, No. 221.

Structure (POSCAR):
```
AlC3S
1.0
3.622 0.000 0.000
0.000 3.622 0.000
0.000 0.000 3.622
Al C S
1 3 1
Cartesian
0.000 0.000 0.000
0.000 1.811 1.811
1.811 0.000 1.811
1.811 1.811 0.000
1.811 1.811 1.811
```

---

(16)
Material: AlC3S
Method: DFT, PBE
State: optimized geometry

Output
The uncorrected formation energy is 2.633 eV/atom. The value obtained for the energy above the most stable polymorph in this dataset is 303 meV per atom. As for the symmetry: Pm-3m, No. 221.

Structure (POSCAR):
```
AlC3S
1.0
3.978 0.000 0.000
0.000 3.978 0.000
0.000 0.000 3.978
Al C S
1 3 1
Cartesian
0.000 0.000 0.000
0.000 0.000 1.989
0.000 1.989 0.000
1.989 0.000 0.000
1.989 1.989 1.989
```

---

(17)
Material: AlV2CS
Method: DFT, PBE
State: optimized geometry

Output
The uncorrected formation energy is 0.089 eV/atom. As for the symmetry: P4/mmm, No. 123.

Structure (POSCAR):
```
AlV2CS
1.0
4.149 0.000 0.000
0.000 4.149 0.000
0.000 0.000 3.672
Al V C S
1 2 1 1
Cartesian
0.000 0.000 0.000
0.000 2.075 1.836
2.075 0.000 1.836
0.000 0.000 1.836
2.075 2.075 0.000
```

---

(18)
Material: Al3SbC
Method: DFT, PBE
State: optimized geometry

Output
The uncorrected formation energy is 2.133 eV/atom. As for the symmetry: Pm-3m, No. 221.

Structure (POSCAR):
```
Al3SbC
1.0
5.387 0.000 0.000
0.000 5.387 0.000
0.000 0.000 5.387
Al Sb C
3 1 1
Cartesian
0.000 0.000 2.693
0.000 2.693 0.000
2.693 0.000 0.000
0.000 0.000 0.000
2.693 2.693 2.693
```

---

(19)
Material: Al2SbC
Method: DFT, PBE
State: optimized geometry

Output
The uncorrected formation energy is 1.003 eV/atom. As for the symmetry: R-3m, No. 166.

Structure (POSCAR):
```
Al2SbC
1.0
2.072 1.196 6.711
-2.072 1.196 6.711
0.000 -2.393 6.711
Al Sb C
2 1 1
Cartesian
0.000 0.000 1.869
0.000 0.000 18.264
0.000 0.000 10.067
0.000 0.000 0.000
```

---

(20)
Material: Al2SbC
Method: DFT, PBE
State: optimized geometry

Output
The uncorrected formation energy is 1.307 eV/atom. As for the symmetry: Fm-3m, No. 225.

Structure (POSCAR):
```
Al2SbC
1.0
0.000 3.236 3.236
3.236 0.000 3.236
3.236 3.236 0.000
Al Sb C
2 1 1
Cartesian
1.618 1.618 1.618
4.853 4.853 4.853
0.000 0.000 0.000
3.236 3.236 3.236
```

---

(21)
Material: Al2SbC
Method: DFT, PBE
State: optimized geometry

Output
The uncorrected formation energy is 0.157 eV/atom. As for the symmetry: I-42d, No. 122.

Structure (POSCAR):
```
Al2SbC
1.0
-2.766 2.766 4.952
2.766 -2.766 4.952
2.766 2.766 -4.952
Al Sb C
4 2 2
Cartesian
4.149 0.719 -1.238
0.719 1.383 1.238
-1.383 2.047 3.714
2.047 1.383 6.190
2.766 0.000 2.476
0.000 0.000 4.952
0.000 0.000 0.000
0.000 2.766 2.476
```

---

(22)
Material: AlSb3C
Method: DFT, PBE
State: optimized geometry

Output
The uncorrected formation energy is 0.967 eV/atom. The value obtained for the energy above the most stable polymorph in this dataset is 0 meV per atom. As for the symmetry: Pm-3m, No. 221.

Structure (POSCAR):
```
AlSb3C
1.0
4.781 0.000 0.000
0.000 4.781 0.000
0.000 0.000 4.781
Al Sb C
1 3 1
Cartesian
0.000 0.000 0.000
0.000 2.390 2.390
2.390 0.000 2.390
2.390 2.390 0.000
2.390 2.390 2.390
```

---

(23)
Material: AlSb3C
Method: DFT, PBE
State: optimized geometry

Output
The uncorrected formation energy is 1.838 eV/atom. The value obtained for the energy above the most stable polymorph in this dataset is 871 meV per atom. As for the symmetry: Pm-3m, No. 221.

Structure (POSCAR):
```
AlSb3C
1.0
5.229 0.000 0.000
0.000 5.229 0.000
0.000 0.000 5.229
Al Sb C
1 3 1
Cartesian
0.000 0.000 0.000
0.000 0.000 2.614
0.000 2.614 0.000
2.614 0.000 0.000
2.614 2.614 2.614
```

---

(24)
Material: Al3SbC
Method: DFT, PBE
State: optimized geometry

Output
The uncorrected formation energy is 0.319 eV/atom. As for the symmetry: Pm-3m, No. 221.

Structure (POSCAR):
```
Al3SbC
1.0
4.323 0.000 0.000
0.000 4.323 0.000
0.000 0.000 4.323
Al Sb C
3 1 1
Cartesian
0.000 0.000 2.161
0.000 2.161 0.000
2.161 0.000 0.000
2.161 2.161 2.161
0.000 0.000 0.000
```

---

(25)
Material: Sc2AlSbC
Method: DFT, PBE
State: optimized geometry

Output
The uncorrected formation energy is -0.530 eV/atom. As for the symmetry: P4/mmm, No. 123.

Structure (POSCAR):
```
Sc2AlSbC
1.0
4.674 0.000 0.000
0.000 4.674 0.000
0.000 0.000 3.981
Sc Al Sb C
2 1 1 1
Cartesian
0.000 2.337 0.000
2.337 0.000 0.000
0.000 0.000 1.990
2.337 2.337 1.990
0.000 0.000 0.000
```

---

(26)
Material: AlSbCSe2
Method: DFT, PBE
State: optimized geometry

Output
The uncorrected formation energy is 1.168 eV/atom. As for the symmetry: P4/mmm, No. 123.

Structure (POSCAR):
```
AlSbCSe2
1.0
5.395 0.000 0.000
0.000 5.395 0.000
0.000 0.000 4.216
Al Sb C Se
1 1 1 2
Cartesian
0.000 0.000 0.000
2.698 2.698 2.108
2.698 2.698 0.000
0.000 2.698 2.108
2.698 0.000 2.108
```

---

Record-wise N(E_F) values, in states/eV/f.u.: 2.79; 3.12; 5.73; 3.59; 4.19; 4.48; 4.19; 2.90; 3.74; 4.33; 4.26; 3.01; 0.00; 2.21; 3.08; 2.80; 5.61; 2.50; 1.62; 2.15; 1.85; 2.97; 7.38; 0.84; 2.28; 2.58